Density functional theory data (PBE) for a geometry-optimized CaScRe2Pb structure.

Lattice parameters (Å, degrees): 4.7533 4.7533 5.3285 90.00 90.00 90.00
Fractional coordinates of all 5 atoms:
Ca: 0.0000 0.0000 0.0000
Sc: 0.5000 0.5000 0.5000
Re: 0.0000 0.5000 0.0000
Re: 0.5000 0.0000 0.0000
Pb: 0.0000 0.0000 0.5000

Computed properties:
SG: No. 123
Energy: -25.83 eV/cell
Energy of formation from the pure elements: 2.221 eV per atom